# 1
First-principles (meta-GGA SCAN) data for a PBEsol-optimized structure of BaPbS2O8, as listed in Alexandria via LeMat-Bulk.

Cell and atoms, written as CIF:
```
data_BaPbS2O8
_symmetry_space_group_name_H-M 'P m c 21'
_symmetry_Int_Tables_number 26
_symmetry_space_group_name_Hall 'P 2c -2'
_cell_length_a 5.4344
_cell_length_b 6.9714
_cell_length_c 8.6288
_cell_angle_alpha 90.00
_cell_angle_beta 90.00
_cell_angle_gamma 90.00
loop_
_atom_site_label
_atom_site_type_symbol
_atom_site_fract_x
_atom_site_fract_y
_atom_site_fract_z
Ba1 Ba 0.0000 0.0865 0.0000
Pb1 Pb 0.5000 0.4031 0.3598
S1 S 0.0000 0.4315 0.6076
S2 S 0.5000 0.0609 0.7418
O1 O 0.0000 0.3108 0.7461
O2 O 0.0000 0.3161 0.4625
O3 O 0.2247 0.4421 0.1053
O4 O 0.2800 0.0653 0.2643
O5 O 0.5000 0.1374 0.5822
O6 O 0.5000 0.2140 0.8612
```

# 2
First-principles (meta-GGA SCAN) data for a PBEsol-optimized structure of MgBOs3, as listed in Alexandria via LeMat-Bulk.

Cell and atoms, written as CIF:
```
data_MgBOs3
_symmetry_space_group_name_H-M 'P m -3 m'
_symmetry_Int_Tables_number 221
_symmetry_space_group_name_Hall '-P 4 2 3'
_cell_length_a 4.0851
_cell_length_b 4.0851
_cell_length_c 4.0851
_cell_angle_alpha 90.00
_cell_angle_beta 90.00
_cell_angle_gamma 90.00
loop_
_atom_site_label
_atom_site_type_symbol
_atom_site_fract_x
_atom_site_fract_y
_atom_site_fract_z
Mg1 Mg 0.0000 0.0000 0.0000
B1 B 0.5000 0.5000 0.5000
Os1 Os 0.0000 0.5000 0.5000
```

# 3
First-principles (meta-GGA SCAN) data for a PBEsol-optimized structure of Ba2MnPb, as listed in Alexandria via LeMat-Bulk.

Cell and atoms, written as CIF:
```
data_Ba2MnPb
_symmetry_space_group_name_H-M 'F -4 3 m'
_symmetry_Int_Tables_number 216
_symmetry_space_group_name_Hall 'F -4 2 3'
_cell_length_a 7.8907
_cell_length_b 7.8907
_cell_length_c 7.8907
_cell_angle_alpha 90.00
_cell_angle_beta 90.00
_cell_angle_gamma 90.00
loop_
_atom_site_label
_atom_site_type_symbol
_atom_site_fract_x
_atom_site_fract_y
_atom_site_fract_z
Ba1 Ba 0.0000 0.0000 0.0000
Ba2 Ba 0.2500 0.2500 0.2500
Mn1 Mn 0.2500 0.2500 0.7500
Pb1 Pb 0.0000 0.0000 0.5000
```

# 4
First-principles (meta-GGA SCAN) data for a PBEsol-optimized structure of Zr2CrSe, as listed in Alexandria via LeMat-Bulk.

Cell and atoms, written as CIF:
```
data_Zr2CrSe
_symmetry_space_group_name_H-M 'F -4 3 m'
_symmetry_Int_Tables_number 216
_symmetry_space_group_name_Hall 'F -4 2 3'
_cell_length_a 6.4530
_cell_length_b 6.4530
_cell_length_c 6.4530
_cell_angle_alpha 90.00
_cell_angle_beta 90.00
_cell_angle_gamma 90.00
loop_
_atom_site_label
_atom_site_type_symbol
_atom_site_fract_x
_atom_site_fract_y
_atom_site_fract_z
Zr1 Zr 0.0000 0.0000 0.0000
Zr2 Zr 0.2500 0.2500 0.2500
Cr1 Cr 0.2500 0.2500 0.7500
Se1 Se 0.0000 0.0000 0.5000
```

# 5
First-principles (meta-GGA SCAN) data for a PBEsol-optimized structure of Ga2CuBrF, as listed in Alexandria via LeMat-Bulk.

Cell and atoms, written as CIF:
```
data_Ga2CuBrF
_symmetry_space_group_name_H-M 'P 4/m m m'
_symmetry_Int_Tables_number 123
_symmetry_space_group_name_Hall '-P 4 2'
_cell_length_a 4.3241
_cell_length_b 4.3241
_cell_length_c 5.5778
_cell_angle_alpha 90.00
_cell_angle_beta 90.00
_cell_angle_gamma 90.00
loop_
_atom_site_label
_atom_site_type_symbol
_atom_site_fract_x
_atom_site_fract_y
_atom_site_fract_z
Ga1 Ga 0.0000 0.5000 0.0000
Cu1 Cu 0.0000 0.0000 0.5000
Br1 Br 0.5000 0.5000 0.5000
F1 F 0.5000 0.5000 0.0000
```

# 6
First-principles (meta-GGA SCAN) data for a PBEsol-optimized structure of CdSi2Se, as listed in Alexandria via LeMat-Bulk.

Cell and atoms, written as CIF:
```
data_CdSi2Se
_symmetry_space_group_name_H-M 'F -4 3 m'
_symmetry_Int_Tables_number 216
_symmetry_space_group_name_Hall 'F -4 2 3'
_cell_length_a 6.6394
_cell_length_b 6.6394
_cell_length_c 6.6394
_cell_angle_alpha 90.00
_cell_angle_beta 90.00
_cell_angle_gamma 90.00
loop_
_atom_site_label
_atom_site_type_symbol
_atom_site_fract_x
_atom_site_fract_y
_atom_site_fract_z
Cd1 Cd 0.0000 0.0000 0.0000
Si1 Si 0.0000 0.0000 0.5000
Si2 Si 0.2500 0.2500 0.7500
Se1 Se 0.2500 0.2500 0.2500
```

# 7
First-principles (meta-GGA SCAN) data for a PBEsol-optimized structure of ScNb2SiF, as listed in Alexandria via LeMat-Bulk.

Cell and atoms, written as CIF:
```
data_ScNb2SiF
_symmetry_space_group_name_H-M 'P 4/m m m'
_symmetry_Int_Tables_number 123
_symmetry_space_group_name_Hall '-P 4 2'
_cell_length_a 4.1191
_cell_length_b 4.1191
_cell_length_c 4.9257
_cell_angle_alpha 90.00
_cell_angle_beta 90.00
_cell_angle_gamma 90.00
loop_
_atom_site_label
_atom_site_type_symbol
_atom_site_fract_x
_atom_site_fract_y
_atom_site_fract_z
Sc1 Sc 0.0000 0.0000 0.0000
Nb1 Nb 0.0000 0.5000 0.5000
Si1 Si 0.5000 0.5000 0.0000
F1 F 0.5000 0.5000 0.5000
```

# 8
First-principles (meta-GGA SCAN) data for a PBEsol-optimized structure of CaLa2Au, as listed in Alexandria via LeMat-Bulk.

Cell and atoms, written as CIF:
```
data_CaLa2Au
_symmetry_space_group_name_H-M 'P 4 m m'
_symmetry_Int_Tables_number 99
_symmetry_space_group_name_Hall 'P 4 -2'
_cell_length_a 3.6701
_cell_length_b 3.6701
_cell_length_c 8.9022
_cell_angle_alpha 90.00
_cell_angle_beta 90.00
_cell_angle_gamma 90.00
loop_
_atom_site_label
_atom_site_type_symbol
_atom_site_fract_x
_atom_site_fract_y
_atom_site_fract_z
Ca1 Ca 0.0000 0.0000 0.0000
La1 La 0.0000 0.0000 0.6056
La2 La 0.5000 0.5000 0.3249
Au1 Au 0.5000 0.5000 0.8061
```

# 9
First-principles (meta-GGA SCAN) data for a PBEsol-optimized structure of KFeS2F, as listed in Alexandria via LeMat-Bulk.

Cell and atoms, written as CIF:
```
data_KFeS2F
_symmetry_space_group_name_H-M 'P 4/m m m'
_symmetry_Int_Tables_number 123
_symmetry_space_group_name_Hall '-P 4 2'
_cell_length_a 4.6733
_cell_length_b 4.6733
_cell_length_c 4.3666
_cell_angle_alpha 90.00
_cell_angle_beta 90.00
_cell_angle_gamma 90.00
loop_
_atom_site_label
_atom_site_type_symbol
_atom_site_fract_x
_atom_site_fract_y
_atom_site_fract_z
K1 K 0.0000 0.0000 0.0000
Fe1 Fe 0.5000 0.5000 0.0000
S1 S 0.0000 0.5000 0.5000
F1 F 0.0000 0.0000 0.5000
```

# 10
First-principles (meta-GGA SCAN) data for a PBEsol-optimized structure of LaRuRh3, as listed in Alexandria via LeMat-Bulk.

Cell and atoms, written as CIF:
```
data_LaRuRh3
_symmetry_space_group_name_H-M 'P m -3 m'
_symmetry_Int_Tables_number 221
_symmetry_space_group_name_Hall '-P 4 2 3'
_cell_length_a 4.7068
_cell_length_b 4.7068
_cell_length_c 4.7068
_cell_angle_alpha 90.00
_cell_angle_beta 90.00
_cell_angle_gamma 90.00
loop_
_atom_site_label
_atom_site_type_symbol
_atom_site_fract_x
_atom_site_fract_y
_atom_site_fract_z
La1 La 0.0000 0.0000 0.0000
Ru1 Ru 0.5000 0.5000 0.5000
Rh1 Rh 0.0000 0.0000 0.5000
```

# 11
First-principles (meta-GGA SCAN) data for a PBEsol-optimized structure of Sc2AlAg, as listed in Alexandria via LeMat-Bulk.

Cell and atoms, written as CIF:
```
data_Sc2AlAg
_symmetry_space_group_name_H-M 'I -4 2 d'
_symmetry_Int_Tables_number 122
_symmetry_space_group_name_Hall 'I -4 2bw'
_cell_length_a 4.0710
_cell_length_b 4.0710
_cell_length_c 20.0916
_cell_angle_alpha 90.00
_cell_angle_beta 90.00
_cell_angle_gamma 90.00
loop_
_atom_site_label
_atom_site_type_symbol
_atom_site_fract_x
_atom_site_fract_y
_atom_site_fract_z
Sc1 Sc 0.2447 0.2500 0.1250
Al1 Al 0.0000 0.0000 0.0000
Ag1 Ag 0.0000 0.0000 0.5000
```

# 12
First-principles (meta-GGA SCAN) data for a PBEsol-optimized structure of Hf2TcPd2, as listed in Alexandria via LeMat-Bulk.

Cell and atoms, written as CIF:
```
data_Hf2TcPd2
_symmetry_space_group_name_H-M 'I 4/m m m'
_symmetry_Int_Tables_number 139
_symmetry_space_group_name_Hall '-I 4 2'
_cell_length_a 4.8338
_cell_length_b 4.8338
_cell_length_c 8.0319
_cell_angle_alpha 90.00
_cell_angle_beta 90.00
_cell_angle_gamma 90.00
loop_
_atom_site_label
_atom_site_type_symbol
_atom_site_fract_x
_atom_site_fract_y
_atom_site_fract_z
Hf1 Hf 0.0000 0.5000 0.2500
Tc1 Tc 0.0000 0.0000 0.0000
Pd1 Pd 0.0000 0.0000 0.3542
```

# 13
First-principles (meta-GGA SCAN) data for a PBEsol-optimized structure of AlCu2, as listed in Alexandria via LeMat-Bulk.

Cell and atoms, written as CIF:
```
data_AlCu2
_symmetry_space_group_name_H-M 'C 1 m 1'
_symmetry_Int_Tables_number 8
_symmetry_space_group_name_Hall 'C -2y'
_cell_length_a 9.3423
_cell_length_b 2.7334
_cell_length_c 5.9970
_cell_angle_alpha 90.00
_cell_angle_beta 104.15
_cell_angle_gamma 90.00
loop_
_atom_site_label
_atom_site_type_symbol
_atom_site_fract_x
_atom_site_fract_y
_atom_site_fract_z
Al1 Al 0.0000 0.0000 0.0000
Al2 Al 0.1844 0.5000 0.3655
Cu1 Cu 0.0537 0.0000 0.6100
Cu2 Cu 0.2196 0.5000 0.9491
Cu3 Cu 0.3384 0.0000 0.6816
Cu4 Cu 0.3941 0.0000 0.2771
```

# 14
First-principles (meta-GGA SCAN) data for a PBEsol-optimized structure of ScGa2OsSe, as listed in Alexandria via LeMat-Bulk.

Cell and atoms, written as CIF:
```
data_ScGa2OsSe
_symmetry_space_group_name_H-M 'P 4/m m m'
_symmetry_Int_Tables_number 123
_symmetry_space_group_name_Hall '-P 4 2'
_cell_length_a 4.5954
_cell_length_b 4.5954
_cell_length_c 5.2481
_cell_angle_alpha 90.00
_cell_angle_beta 90.00
_cell_angle_gamma 90.00
loop_
_atom_site_label
_atom_site_type_symbol
_atom_site_fract_x
_atom_site_fract_y
_atom_site_fract_z
Sc1 Sc 0.0000 0.0000 0.0000
Ga1 Ga 0.0000 0.5000 0.5000
Os1 Os 0.5000 0.5000 0.5000
Se1 Se 0.5000 0.5000 0.0000
```

# 15
First-principles (meta-GGA SCAN) data for a PBEsol-optimized structure of MnTc2Ag, as listed in Alexandria via LeMat-Bulk.

Cell and atoms, written as CIF:
```
data_MnTc2Ag
_symmetry_space_group_name_H-M 'F -4 3 m'
_symmetry_Int_Tables_number 216
_symmetry_space_group_name_Hall 'F -4 2 3'
_cell_length_a 6.1265
_cell_length_b 6.1265
_cell_length_c 6.1265
_cell_angle_alpha 90.00
_cell_angle_beta 90.00
_cell_angle_gamma 90.00
loop_
_atom_site_label
_atom_site_type_symbol
_atom_site_fract_x
_atom_site_fract_y
_atom_site_fract_z
Mn1 Mn 0.0000 0.0000 0.0000
Tc1 Tc 0.0000 0.0000 0.5000
Tc2 Tc 0.2500 0.2500 0.7500
Ag1 Ag 0.2500 0.2500 0.2500
```

# 16
First-principles (meta-GGA SCAN) data for a PBEsol-optimized structure of Ni2AsWI, as listed in Alexandria via LeMat-Bulk.

Cell and atoms, written as CIF:
```
data_Ni2AsWI
_symmetry_space_group_name_H-M 'P 4/m m m'
_symmetry_Int_Tables_number 123
_symmetry_space_group_name_Hall '-P 4 2'
_cell_length_a 4.4650
_cell_length_b 4.4650
_cell_length_c 5.1279
_cell_angle_alpha 90.00
_cell_angle_beta 90.00
_cell_angle_gamma 90.00
loop_
_atom_site_label
_atom_site_type_symbol
_atom_site_fract_x
_atom_site_fract_y
_atom_site_fract_z
Ni1 Ni 0.0000 0.5000 0.0000
As1 As 0.0000 0.0000 0.5000
W1 W 0.5000 0.5000 0.5000
I1 I 0.5000 0.5000 0.0000
```

# 17
First-principles (meta-GGA SCAN) data for a PBEsol-optimized structure of NaMnIN2, as listed in Alexandria via LeMat-Bulk.

Cell and atoms, written as CIF:
```
data_NaMnIN2
_symmetry_space_group_name_H-M 'P 4/m m m'
_symmetry_Int_Tables_number 123
_symmetry_space_group_name_Hall '-P 4 2'
_cell_length_a 3.7378
_cell_length_b 3.7378
_cell_length_c 5.5358
_cell_angle_alpha 90.00
_cell_angle_beta 90.00
_cell_angle_gamma 90.00
loop_
_atom_site_label
_atom_site_type_symbol
_atom_site_fract_x
_atom_site_fract_y
_atom_site_fract_z
Na1 Na 0.0000 0.0000 0.0000
Mn1 Mn 0.5000 0.5000 0.5000
I1 I 0.5000 0.5000 0.0000
N1 N 0.0000 0.5000 0.5000
```

# 18
First-principles (meta-GGA SCAN) data for a PBEsol-optimized structure of Sr2GePdS, as listed in Alexandria via LeMat-Bulk.

Cell and atoms, written as CIF:
```
data_Sr2GePdS
_symmetry_space_group_name_H-M 'P 4/m m m'
_symmetry_Int_Tables_number 123
_symmetry_space_group_name_Hall '-P 4 2'
_cell_length_a 5.5087
_cell_length_b 5.5087
_cell_length_c 4.7069
_cell_angle_alpha 90.00
_cell_angle_beta 90.00
_cell_angle_gamma 90.00
loop_
_atom_site_label
_atom_site_type_symbol
_atom_site_fract_x
_atom_site_fract_y
_atom_site_fract_z
Sr1 Sr 0.0000 0.5000 0.0000
Ge1 Ge 0.0000 0.0000 0.5000
Pd1 Pd 0.5000 0.5000 0.5000
S1 S 0.0000 0.0000 0.0000
```

# 19
First-principles (meta-GGA SCAN) data for a PBEsol-optimized structure of Co2SiAu, as listed in Alexandria via LeMat-Bulk.

Cell and atoms, written as CIF:
```
data_Co2SiAu
_symmetry_space_group_name_H-M 'I m m m'
_symmetry_Int_Tables_number 71
_symmetry_space_group_name_Hall '-I 2 2'
_cell_length_a 2.9107
_cell_length_b 4.2320
_cell_length_c 8.0477
_cell_angle_alpha 90.00
_cell_angle_beta 90.00
_cell_angle_gamma 90.00
loop_
_atom_site_label
_atom_site_type_symbol
_atom_site_fract_x
_atom_site_fract_y
_atom_site_fract_z
Co1 Co 0.0000 0.0000 0.2176
Si1 Si 0.0000 0.5000 0.5000
Au1 Au 0.0000 0.5000 0.0000
```

# 20
First-principles (meta-GGA SCAN) data for a PBEsol-optimized structure of TaSbPt, as listed in Alexandria via LeMat-Bulk.

Cell and atoms, written as CIF:
```
data_TaSbPt
_symmetry_space_group_name_H-M 'P 3 m 1'
_symmetry_Int_Tables_number 156
_symmetry_space_group_name_Hall 'P 3 -2"'
_cell_length_a 4.2679
_cell_length_b 4.2679
_cell_length_c 3.7851
_cell_angle_alpha 90.00
_cell_angle_beta 90.00
_cell_angle_gamma 120.00
loop_
_atom_site_label
_atom_site_type_symbol
_atom_site_fract_x
_atom_site_fract_y
_atom_site_fract_z
Ta1 Ta 0.0000 0.0000 0.0000
Sb1 Sb 0.6667 0.3333 0.5265
Pt1 Pt 0.3333 0.6667 0.1904
```

Spin magnetization, respectively: 0.00, 0.01, 13.95, 0.00, 0.00, 0.00, 0.00, 0.29, 3.84, 3.10, 3.51, 0.00, 0.00, 0.00, 14.78, 2.65, 0.38, 0.00, 5.99, 0.00 μB/cell.
Calculated total energy, respectively: -17.4465, -45.3430, -43.3004, -24.6818, -14.2726, -16.9555, -19.1643, -41.7383, -9.6992, -34.2798, -16.6659, -45.2020, -12.9383, -27.5741, -29.6230, -29.9234, -15.2028, -21.6493, -28.4763, -58.2034 eV/atom.